1.
{"formula": "CsFeSbI2", "functional": "GGA-PBEsol", "state": "relaxed", "rho_g_cm3": 5.7, "formation_energy_uncorrected_mev_per_atom": -225, "n_ef_per_ev_fu": 5.042, "total_energy_ev_per_atom": -3.824, "crystal_system": "tetragonal", "lattice_angstrom": [[4.858, 0.000, 0.000], [0.000, 5.813, 0.000], [0.000, 0.000, 5.813]], "species": ["Sb", "Cs", "Fe", "I", "I"], "frac_coords": [[0.500, 0.000, 0.000], [0.500, 0.500, 0.500], [0.000, 0.000, 0.000], [0.000, 0.000, 0.500], [0.000, 0.500, 0.000]]}

***

2.
{"formula": "AgSb", "functional": "GGA-PBEsol", "state": "relaxed", "rho_g_cm3": 8.3, "formation_energy_uncorrected_mev_per_atom": 66, "n_ef_per_ev_fu": 0.853, "total_energy_ev_per_atom": -3.868, "crystal_system": "hexagonal", "lattice_angstrom": [[-3.753, -1.953, 1.117], [3.790, -2.149, 0.406], [0.536, 1.916, 5.147]], "species": ["Sb", "Sb", "Ag", "Ag"], "frac_coords": [[0.333, 0.667, 0.250], [0.667, 0.333, 0.750], [0.000, 0.000, 0.000], [0.000, 0.000, 0.500]]}

***

3.
{"formula": "SrTlRe2", "functional": "GGA-PBEsol", "state": "relaxed", "rho_g_cm3": 12.5, "n_ef_per_ev_fu": 4.195, "formation_enthalpy_0k_ev_per_atom": 1.19, "total_energy_ev_per_atom": -6.590, "crystal_system": "tetragonal", "lattice_angstrom": [[-1.928, -3.050, -0.234], [-0.171, -0.169, 3.607], [-5.695, 3.607, -0.102]], "species": ["Sr", "Tl", "Re", "Re"], "frac_coords": [[0.500, 0.500, 0.000], [0.500, 0.500, 0.500], [0.000, 0.000, 0.676], [0.000, 0.000, 0.324]]}

***

Repeat the third record exactly.
{"formula": "SrTlRe2", "functional": "GGA-PBEsol", "state": "relaxed", "rho_g_cm3": 12.5, "n_ef_per_ev_fu": 4.195, "formation_enthalpy_0k_ev_per_atom": 1.19, "total_energy_ev_per_atom": -6.590, "crystal_system": "tetragonal", "lattice_angstrom": [[-1.928, -3.050, -0.234], [-0.171, -0.169, 3.607], [-5.695, 3.607, -0.102]], "species": ["Sr", "Tl", "Re", "Re"], "frac_coords": [[0.500, 0.500, 0.000], [0.500, 0.500, 0.500], [0.000, 0.000, 0.676], [0.000, 0.000, 0.324]]}